# 1
The following is a PBE calculation of Rb2TiAsF6 after structural relaxation, from Alexandria.

Properties
ΔE_f (raw)	-2.54	eV per atom
E_tot	-5.1129	eV/atom
total magnetization	1.0	μB/f.u.

a = 7.150 Å, b = 7.150 Å, c = 8.158 Å
α = 90.00°, β = 90.00°, γ = 90.00°
Space group I4/mmm (No. 139)
Unique sites:
Rb 0.000 0.500 0.250 x4
Ti 0.000 0.000 0.000 x2
As 0.000 0.000 0.500 x2
F 0.000 0.000 0.239 x4
F 0.188 0.188 0.000 x8

***

# 2
The following is a PBE calculation of RbTlAsF6 after structural relaxation, from Alexandria.

Properties
ΔE_f (raw)	-2.17	eV per atom
E_tot	-4.3031	eV/atom
total magnetization	1.0	μB/f.u.

a = 6.479 Å, b = 11.266 Å, c = 5.229 Å
α = 90.00°, β = 90.02°, γ = 90.00°
Space group C2 (No. 5)
Unique sites:
Rb 0.000 0.000 0.000 x2
Tl 0.000 0.667 0.500 x2
As 0.000 0.333 0.000 x2
F 0.115 0.457 0.790 x4
F 0.129 0.213 0.789 x4
F 0.246 0.328 0.209 x4

***

# 3
The following is a PBE calculation of RbTl2AsF6 after structural relaxation, from Alexandria.

Properties
ΔE_f (raw)	-2.11	eV per atom
E_tot	-4.2719	eV/atom
total magnetization	0.0	μB/f.u.

a = 6.371 Å, b = 6.902 Å, c = 11.272 Å
α = 90.00°, β = 123.79°, γ = 90.00°
Space group P2_1/c (No. 14)
Unique sites:
Rb 0.000 0.000 0.000 x2
Tl 0.229 0.039 0.738 x4
As 0.500 0.000 0.500 x2
F 0.196 0.155 0.475 x4
F 0.273 0.746 0.930 x4
F 0.382 0.064 0.290 x4